Density functional theory data (PBE-GGA) for a relaxed HfZn3In crystal.

Summary:
Energy of formation   0.864 eV per atom
Energy relative to the lowest polymorph listed for this composition   0 meV per atom
VASP energy   -2.439 eV/atom

Lattice parameters (Å, degrees): 5.254 5.254 5.254 90.00 90.00 90.00
Fractional positions:
Zn: 0.000 0.500 0.000
Zn: 0.000 0.000 0.500
Zn: 0.500 0.000 0.000
Hf: 0.000 0.000 0.000
In: 0.500 0.500 0.500